Density functional theory data (PBE) for crystalline NpTl6Br12 at its relaxed geometry.

```
19
Lattice="9.1185 0.6005 -1.9043 -2.4557 8.8021 -1.9043 0.4255 0.6005 9.3055" Properties=species:S:1:pos:R:3 pbc="T T T"
Br 3.5091 7.9003 1.3194
Br 2.8438 5.9292 5.7642
Np 0.0000 0.0000 0.0000
Br 4.2445 4.0738 -0.2674
Tl 5.5406 2.0095 1.7453
Br 6.7407 4.6482 3.0702
Br 6.8574 1.0835 7.3468
Br 6.8043 6.8289 -3.0400
Tl 5.3831 4.1095 5.8736
Br -1.9019 8.6830 4.8127
Tl 6.2097 6.4409 0.5651
Tl 1.7052 5.8935 -0.3768
Br 0.2309 8.9195 -1.8500
Br 8.9901 1.3199 0.6841
Br 3.5791 2.1027 4.1774
Br 0.3476 5.3548 2.4266
Tl 0.8785 3.5621 4.9318
Tl 1.5476 7.9935 3.7515
Br 0.2840 3.1740 8.5368
```

Computed properties:
**Space-group type**: No. 148
**Total energy**: -3.344 eV/atom
**Formation energy without anion corrections**: -0.859 eV per atom

=====

Density functional theory data (PBE) for crystalline NpTl3Br6 at its relaxed geometry.

```
20
Lattice="-3.8127 6.2965 -2.6464 -7.5285 -4.2745 0.6766 -0.8180 3.1668 10.9059" Properties=species:S:1:pos:R:3 pbc="T T T"
Br -3.6868 1.5689 5.7266
Br -8.6939 2.4896 -0.8775
Br -4.4957 4.5292 2.9954
Br -7.6635 0.6597 5.9406
Br -6.3215 4.5355 6.6036
Tl -7.0491 5.1581 0.6299
Br -10.9127 3.8181 6.7101
Tl -5.1101 0.0307 8.3061
Tl -0.4090 1.5834 5.4529
Np 0.0000 0.0000 0.0000
Tl -9.1226 0.1676 1.7560
Br -8.1876 1.3667 10.0945
Br -3.4654 2.6992 9.8135
Br -3.9717 3.8222 -1.1585
Tl -5.6706 1.0110 -0.9849
Br -5.8377 0.6533 2.3324
Br -1.2465 1.3707 2.2259
Np -6.0796 2.5944 4.4680
Br -8.4724 3.6199 3.2094
Tl -3.0367 5.0213 7.1800
```

Computed properties:
**Space-group type**: No. 14
**Total energy**: -4.067 eV/atom
**Formation energy without anion corrections**: -1.060 eV per atom

=====

Density functional theory data (PBE) for crystalline NpTl3Br8 at its relaxed geometry.

```
12
Lattice="-5.6027 -3.3076 -3.7002 3.0666 -6.6947 1.3411 -3.9023 -0.5121 6.3664" Properties=species:S:1:pos:R:3 pbc="T T T"
Br -4.5234 -4.1904 -1.1174
Tl -4.7525 -1.9098 1.3331
Br -4.9807 -8.1339 3.1001
Br -1.9150 -6.3240 5.1248
Br -2.8454 -7.8537 -0.3836
Br 0.2203 -6.0438 1.6411
Np 0.0000 0.0000 0.0000
Br -6.6587 -4.4706 2.3662
Br -3.5930 -2.6607 4.3909
Br -1.4577 -2.3805 0.9073
Tl -1.2681 -5.0011 -1.1795
Tl -0.4179 -3.6034 3.8538
```

Computed properties:
**Space-group type**: No. 221
**Total energy**: -3.666 eV/atom
**Formation energy without anion corrections**: -0.881 eV per atom

=====

Density functional theory data (PBE) for crystalline NpTlZn2Br8 at its relaxed geometry.

```
12
Lattice="6.8335 0.0000 0.0000 3.4168 5.9180 0.0000 3.4168 1.9727 10.2815" Properties=species:S:1:pos:R:3 pbc="T T T"
Br 3.4168 1.9727 4.9900
Br 7.9392 2.0331 8.5239
Br 9.0424 3.9468 1.7576
Br 4.6246 3.9439 8.5239
Tl 6.8335 3.9453 5.1407
Br 5.7303 2.0317 1.7576
Zn 10.2503 5.9180 7.6415
Br 10.2503 5.9180 5.2915
Br 7.9367 5.8590 8.5239
Np 0.0000 0.0000 0.0000
Zn 3.4168 1.9727 2.6400
Br 5.7278 5.8576 1.7576
```

Computed properties:
**Space-group type**: No. 148
**Total energy**: -3.578 eV/atom
**Formation energy without anion corrections**: -0.974 eV per atom

=====

Q: Look up the formation energy without anion corrections of the first one.
A: -0.859 eV per atom

=====

Q: Look up the total energy of the fourth one.
A: -3.578 eV/atom

=====

Q: Look up the formation energy without anion corrections of the first one.
A: -0.859 eV per atom

=====

Please write out number 3 again, unchanged.
Density functional theory data (PBE) for crystalline NpTl3Br8 at its relaxed geometry.

```
12
Lattice="-5.6027 -3.3076 -3.7002 3.0666 -6.6947 1.3411 -3.9023 -0.5121 6.3664" Properties=species:S:1:pos:R:3 pbc="T T T"
Br -4.5234 -4.1904 -1.1174
Tl -4.7525 -1.9098 1.3331
Br -4.9807 -8.1339 3.1001
Br -1.9150 -6.3240 5.1248
Br -2.8454 -7.8537 -0.3836
Br 0.2203 -6.0438 1.6411
Np 0.0000 0.0000 0.0000
Br -6.6587 -4.4706 2.3662
Br -3.5930 -2.6607 4.3909
Br -1.4577 -2.3805 0.9073
Tl -1.2681 -5.0011 -1.1795
Tl -0.4179 -3.6034 3.8538
```

Computed properties:
**Space-group type**: No. 221
**Total energy**: -3.666 eV/atom
**Formation energy without anion corrections**: -0.881 eV per atom